1.
HOsO2F | GGA-PBE | relaxed

Results
raw total energy: -5.722 eV per atom
N(E_F): 1.205 states/eV/cell
SG: P4/mmm, No. 123
M_tot: 0.21 μB/atom

Cell lengths 3.7387, 3.7387, 4.2608 Å; angles 90.00, 90.00, 90.00 degrees
Last column: magnetic moment on the atom in μB.
Positions (direct):
O  0.0000  0.5000  0.0000  0.02
O  0.5000  0.0000  0.0000  0.02
H  0.5000  0.5000  0.5000  0.38
Os  0.0000  0.0000  0.0000  0.05
F  0.0000  0.0000  0.5000  0.02



2.
LiCdIn2Br4 | GGA-PBE | relaxed

Results
N(E_F): 2.075 states/eV/cell
formation energy (no corrections): -0.78 eV/atom
SG: P1, No. 1
M_tot: 0.00 μB/atom

Cell lengths 7.0900, 8.2498, 7.3750 Å; angles 127.53, 123.05, 87.46 degrees
Positions (direct):
Li  0.9791  0.4757  0.9684
In  0.4630  0.0096  0.9356
In  0.1703  0.1591  0.3334
Br  0.6182  0.5094  0.6368
Br  0.0347  0.1313  0.6414
Br  0.8710  0.4491  0.2332
Br  0.3867  0.8256  0.3568
Cd  0.8640  0.8273  0.6685



3.
ScMnOs2 | GGA-PBE | relaxed

Results
N(E_F): 3.203 states/eV/cell
ΔH_f (0 K): -0.02 eV/atom
SG: Imm2, No. 44
M_tot: 0.81 μB/atom

Cell lengths 5.2509, 5.2509, 4.3800 Å; angles 65.38, 65.38, 34.11 degrees
Last column: magnetic moment on the atom in μB.
Positions (direct):
Mn  0.2605  0.2605  0.2394  3.10
Sc  0.4989  0.4989  0.5011  -0.06
Os  0.0005  0.0005  0.9994  0.02
Os  0.7400  0.7400  0.7600  0.08



4.
Nb2ZnPd | GGA-PBE | relaxed

Results
N(E_F): 4.165 states/eV/cell
ΔH_f (0 K): -0.14 eV/atom
SG: P4mm, No. 99
M_tot: 0.00 μB/atom

Cell lengths 3.3707, 3.3707, 5.9080 Å; angles 90.00, 90.00, 90.00 degrees
Positions (direct):
Nb  0.5000  0.5000  0.2453
Nb  0.0000  0.0000  0.9939
Zn  0.5000  0.5000  0.7422
Pd  0.0000  0.0000  0.5186



5.
Zr4Sn3H2 | GGA-PBE | relaxed

Results
raw total energy: -6.355 eV per atom
N(E_F): 4.459 states/eV/cell
SG: C2/m, No. 12
M_tot: 0.00 μB/atom

Cell lengths 4.0478, 5.5511, 7.9312 Å; angles 100.75, 90.00, 111.38 degrees
Positions (direct):
Zr  0.8699  0.7398  0.5798
Zr  0.1301  0.2602  0.4202
Zr  0.3019  0.6037  0.8700
Zr  0.6981  0.3963  0.1300
Sn  0.0000  0.0000  0.0000
Sn  0.5947  0.1894  0.7153
Sn  0.4053  0.8106  0.2847
H  0.6985  0.3969  0.3962
H  0.3015  0.6031  0.6038



6.
Ca2LaBi | GGA-PBE | relaxed

Results
N(E_F): 2.328 states/eV/cell
ΔH_f (0 K): -0.27 eV/atom
SG: R3m, No. 160
M_tot: 0.00 μB/atom

Cell lengths 5.3654, 5.3654, 6.5531 Å; angles 65.83, 65.83, 60.00 degrees
Positions (direct):
Bi  0.7169  0.7169  0.8493
La  0.4909  0.4909  0.5274
Ca  0.0266  0.0266  0.9202
Ca  0.2656  0.2656  0.2032



7.
Na3Tl2Pb7 | GGA-PBE | relaxed

Results
N(E_F): 4.108 states/eV/cell
ΔH_f (0 K): -0.06 eV/atom
SG: P2/m, No. 10
M_tot: 0.00 μB/atom

Cell lengths 3.3948, 6.4056, 16.8456 Å; angles 90.22, 90.00, 90.00 degrees
Positions (direct):
Pb  0.0000  0.0000  0.0000
Pb  0.5000  0.1892  0.1660
Pb  0.0000  0.6989  0.1668
Pb  0.5000  0.7525  0.4994
Pb  0.5000  0.2475  0.5006
Pb  0.0000  0.3011  0.8332
Pb  0.5000  0.8108  0.8340
Tl  0.5000  0.5006  0.6736
Tl  0.5000  0.4994  0.3264
Na  0.0000  0.0007  0.3392
Na  0.5000  0.5000  0.0000
Na  0.0000  0.9993  0.6608



8.
Er2GaPt | GGA-PBE | relaxed

Results
N(E_F): 2.206 states/eV/cell
ΔH_f (0 K): -0.15 eV/atom
SG: R-3m, No. 166
M_tot: 0.00 μB/atom

Cell lengths 3.3210, 3.3210, 10.0077 Å; angles 80.45, 80.45, 60.00 degrees
Positions (direct):
Ga  0.5000  0.5000  0.5000
Er  0.0890  0.0890  0.7331
Er  0.9110  0.9110  0.2669
Pt  0.0000  0.0000  0.0000



9.
Y3Ga4Ir2 | GGA-PBE | relaxed

Results
N(E_F): 5.377 states/eV/cell
ΔH_f (0 K): -0.74 eV/atom
SG: C2/m, No. 12
M_tot: 0.00 μB/atom

Cell lengths 4.3173, 5.6418, 8.3526 Å; angles 103.82, 90.00, 112.50 degrees
Positions (direct):
Ga  0.0881  0.1763  0.6513
Ga  0.9119  0.8237  0.3487
Ga  0.2978  0.5957  0.9362
Ga  0.7022  0.4043  0.0638
Y  0.3774  0.7548  0.6234
Y  0.6226  0.2452  0.3766
Y  0.0000  0.0000  0.0000
Ir  0.7062  0.4124  0.7557
Ir  0.2938  0.5876  0.2443



10.
NdEuGaHg | GGA-PBE | relaxed

Results
N(E_F): 7.016 states/eV/cell
ΔH_f (0 K): -0.49 eV/atom
SG: F-43m, No. 216
M_tot: 1.84 μB/atom

Cell lengths 5.3824, 5.3824, 5.3824 Å; angles 60.00, 60.00, 60.00 degrees
Last column: magnetic moment on the atom in μB.
Positions (direct):
Ga  0.2500  0.2500  0.2500  -0.01
Eu  0.0000  0.0000  0.0000  6.86
Hg  0.7500  0.7500  0.7500  0.02
Nd  0.5000  0.5000  0.5000  0.08



11.
RbInF2 | GGA-PBE | relaxed

Results
N(E_F): 0.000 states/eV/cell
formation energy (no corrections): -1.97 eV/atom
SG: Fm-3m, No. 225
M_tot: 0.00 μB/atom

Cell lengths 4.8727, 4.8727, 4.8727 Å; angles 60.00, 60.00, 60.00 degrees
Positions (direct):
F  0.2500  0.2500  0.2500
F  0.7500  0.7500  0.7500
In  0.5000  0.5000  0.5000
Rb  0.0000  0.0000  0.0000



12.
ZrCrSn2P | GGA-PBE | relaxed

Results
N(E_F): 7.137 states/eV/cell
ΔH_f (0 K): 0.95 eV/atom
SG: P4/mmm, No. 123
M_tot: 0.04 μB/atom

Cell lengths 5.0350, 4.8118, 5.0350 Å; angles 90.00, 90.00, 90.00 degrees
Last column: magnetic moment on the atom in μB.
Positions (direct):
Cr  0.5000  0.5000  0.5000  -0.20
Sn  0.5000  0.0000  0.0000  0.01
Sn  0.0000  0.0000  0.5000  0.01
P  0.0000  0.0000  0.0000  0.00
Zr  0.0000  0.5000  0.0000  0.20



13.
BaSrLiI2 | GGA-PBE | relaxed

Results
N(E_F): 6.178 states/eV/cell
formation energy (no corrections): -0.57 eV/atom
SG: P4/mmm, No. 123
M_tot: 0.00 μB/atom

Cell lengths 5.7397, 6.4910, 5.7397 Å; angles 90.00, 90.00, 90.00 degrees
Positions (direct):
Sr  0.0000  0.5000  0.0000
I  0.5000  0.0000  0.0000
I  0.0000  0.0000  0.5000
Ba  0.5000  0.5000  0.5000
Li  0.0000  0.0000  0.0000



14.
RbSn | GGA-PBE | relaxed

Results
N(E_F): 7.564 states/eV/cell
ΔH_f (0 K): -0.08 eV/atom
SG: Immm, No. 71
M_tot: 0.00 μB/atom

Cell lengths 4.3650, 6.3065, 18.8098 Å; angles 90.00, 90.00, 90.00 degrees
Positions (direct):
Rb  0.5000  0.5000  0.1828
Rb  0.0000  0.0000  0.6828
Rb  0.0000  0.5000  0.0000
Rb  0.5000  0.5000  0.8172
Rb  0.5000  0.0000  0.5000
Rb  0.0000  0.0000  0.3172
Sn  0.5000  0.5000  0.3898
Sn  0.0000  0.0000  0.1102
Sn  0.0000  0.5000  0.5000
Sn  0.5000  0.5000  0.6102
Sn  0.5000  0.0000  0.0000
Sn  0.0000  0.0000  0.8898